Below is a geometry-optimized Al2NiP2 structure, with properties calculated at the PBE level.

## Properties
**Formation energy from the elements**: 0.050 eV per atom
**DFT total energy**: -4.77 eV per atom
**Density**: 3.853 g/cm3

Structure (CIF):
```
data_Al2NiP2
_space_group_name_H-M_alt 'P 1'
_space_group_IT_number 1
_cell_length_a 7.870
_cell_length_b 7.870
_cell_length_c 7.870
_cell_angle_alpha 156.85
_cell_angle_beta 156.85
_cell_angle_gamma 32.97
loop_
_space_group_symop_operation_xyz
'x,y,z'
loop_
_atom_site_label
_atom_site_fract_x
_atom_site_fract_y
_atom_site_fract_z
Al1 0.089 0.089 0.000
Al2 0.911 0.911 0.000
Ni1 0.500 0.500 0.000
P1 0.250 0.750 0.500
P2 0.750 0.250 0.500
```

=====

Below is a geometry-optimized Ca3Nd3SmS8 structure, with properties calculated at the PBE level.

## Properties
**DFT total energy**: -5.93 eV per atom
**Density**: 4.233 g/cm3
**E_form (uncorrected)**: -2.064 eV/atom

Structure (CIF):
```
data_Ca3Nd3SmS8
_space_group_name_H-M_alt 'P 1'
_space_group_IT_number 1
_cell_length_a 8.112
_cell_length_b 8.112
_cell_length_c 8.112
_cell_angle_alpha 59.90
_cell_angle_beta 59.90
_cell_angle_gamma 59.90
loop_
_space_group_symop_operation_xyz
'x,y,z'
loop_
_atom_site_label
_atom_site_fract_x
_atom_site_fract_y
_atom_site_fract_z
Ca1 0.000 0.500 0.500
Ca2 0.500 0.000 0.500
Ca3 0.500 0.500 0.000
Nd1 0.000 0.000 0.500
Nd2 0.000 0.500 0.000
Nd3 0.500 0.000 0.000
Sm1 0.500 0.500 0.500
S1 0.252 0.252 0.252
S2 0.255 0.255 0.745
S3 0.255 0.745 0.255
S4 0.255 0.745 0.745
S5 0.745 0.255 0.255
S6 0.745 0.255 0.745
S7 0.745 0.745 0.255
S8 0.748 0.748 0.748
```

=====

Below is a geometry-optimized Ba2LaAs structure, with properties calculated at the PBE level.

## Properties
**Formation energy from the elements**: -0.308 eV per atom
**DFT total energy**: -3.66 eV per atom
**Density**: 5.939 g/cm3

Structure (CIF):
```
data_Ba2LaAs
_space_group_name_H-M_alt 'P 1'
_space_group_IT_number 1
_cell_length_a 5.035
_cell_length_b 5.035
_cell_length_c 5.388
_cell_angle_alpha 90.00
_cell_angle_beta 90.00
_cell_angle_gamma 90.00
loop_
_space_group_symop_operation_xyz
'x,y,z'
loop_
_atom_site_label
_atom_site_fract_x
_atom_site_fract_y
_atom_site_fract_z
Ba1 0.000 0.500 0.000
Ba2 0.500 0.000 0.000
La1 0.000 0.000 0.500
As1 0.500 0.500 0.500
```

=====

Below is a geometry-optimized Zn4Re3 structure, with properties calculated at the PBE level.

## Properties
**Formation energy from the elements**: 0.207 eV per atom
**DFT total energy**: -5.86 eV per atom
**Density**: 13.287 g/cm3

Structure (CIF):
```
data_Zn4Re3
_space_group_name_H-M_alt 'P 1'
_space_group_IT_number 1
_cell_length_a 12.006
_cell_length_b 12.006
_cell_length_c 12.006
_cell_angle_alpha 165.91
_cell_angle_beta 165.91
_cell_angle_gamma 19.97
loop_
_space_group_symop_operation_xyz
'x,y,z'
loop_
_atom_site_label
_atom_site_fract_x
_atom_site_fract_y
_atom_site_fract_z
Zn1 0.073 0.073 0.000
Zn2 0.358 0.358 0.000
Zn3 0.642 0.642 0.000
Zn4 0.927 0.927 0.000
Re1 0.218 0.218 0.000
Re2 0.500 0.500 0.000
Re3 0.782 0.782 0.000
```

=====

Below is a geometry-optimized LiTe2Se structure, with properties calculated at the PBE level.

## Properties
**DFT total energy**: -3.30 eV per atom
**Density**: 4.988 g/cm3
**E_form (uncorrected)**: -0.376 eV/atom

Structure (CIF):
```
data_LiTe2Se
_space_group_name_H-M_alt 'P 1'
_space_group_IT_number 1
_cell_length_a 4.365
_cell_length_b 4.365
_cell_length_c 5.959
_cell_angle_alpha 90.00
_cell_angle_beta 90.00
_cell_angle_gamma 90.00
loop_
_space_group_symop_operation_xyz
'x,y,z'
loop_
_atom_site_label
_atom_site_fract_x
_atom_site_fract_y
_atom_site_fract_z
Li1 0.000 0.000 0.000
Te1 0.000 0.000 0.499
Te2 0.500 0.500 0.556
Se1 0.500 0.500 0.982
```

=====

Below is a geometry-optimized Sr3InSn6Pd2 structure, with properties calculated at the PBE level.

## Properties
**Formation energy from the elements**: -0.234 eV per atom
**DFT total energy**: -3.75 eV per atom
**Density**: 5.946 g/cm3

Structure (CIF):
```
data_Sr3InSn6Pd2
_space_group_name_H-M_alt 'P 1'
_space_group_IT_number 1
_cell_length_a 6.668
_cell_length_b 6.668
_cell_length_c 9.449
_cell_angle_alpha 90.00
_cell_angle_beta 90.00
_cell_angle_gamma 120.00
loop_
_space_group_symop_operation_xyz
'x,y,z'
loop_
_atom_site_label
_atom_site_fract_x
_atom_site_fract_y
_atom_site_fract_z
Sr1 0.000 0.000 0.000
Sr2 0.333 0.667 0.610
Sr3 0.667 0.333 0.390
In1 0.000 0.000 0.500
Sn1 0.184 0.367 0.265
Sn2 0.184 0.816 0.265
Sn3 0.367 0.184 0.735
Sn4 0.633 0.816 0.265
Sn5 0.816 0.184 0.735
Sn6 0.816 0.633 0.735
Pd1 0.333 0.667 0.035
Pd2 0.667 0.333 0.965
```

=====

Below is a geometry-optimized SrTc2As structure, with properties calculated at the PBE level.

## Properties
**Formation energy from the elements**: 0.737 eV per atom
**DFT total energy**: -6.03 eV per atom
**Density**: 7.692 g/cm3

Structure (CIF):
```
data_SrTc2As
_space_group_name_H-M_alt 'P 1'
_space_group_IT_number 1
_cell_length_a 5.649
_cell_length_b 5.649
_cell_length_c 5.649
_cell_angle_alpha 138.81
_cell_angle_beta 138.81
_cell_angle_gamma 59.67
loop_
_space_group_symop_operation_xyz
'x,y,z'
loop_
_atom_site_label
_atom_site_fract_x
_atom_site_fract_y
_atom_site_fract_z
Sr1 0.000 0.000 0.000
Tc1 0.250 0.750 0.500
Tc2 0.750 0.250 0.500
As1 0.500 0.500 0.000
```

=====

Below is a geometry-optimized Tc2Ir2Pd structure, with properties calculated at the PBE level.

## Properties
**Formation energy from the elements**: 0.047 eV per atom
**DFT total energy**: -8.68 eV per atom
**Density**: 14.691 g/cm3
**Offset from the most stable computed form**: 0 meV per atom

Structure (CIF):
```
data_Tc2Ir2Pd
_space_group_name_H-M_alt 'P 1'
_space_group_IT_number 1
_cell_length_a 7.544
_cell_length_b 7.544
_cell_length_c 2.728
_cell_angle_alpha 90.00
_cell_angle_beta 90.00
_cell_angle_gamma 90.00
loop_
_space_group_symop_operation_xyz
'x,y,z'
loop_
_atom_site_label
_atom_site_fract_x
_atom_site_fract_y
_atom_site_fract_z
Tc1 0.170 0.330 0.000
Tc2 0.330 0.830 0.000
Tc3 0.670 0.170 0.000
Tc4 0.830 0.670 0.000
Ir1 0.124 0.624 0.500
Ir2 0.376 0.124 0.500
Ir3 0.624 0.876 0.500
Ir4 0.876 0.376 0.500
Pd1 0.000 0.000 0.500
Pd2 0.500 0.500 0.500
```